Entry 1:
Density functional theory data (PBE-GGA) for a geometry-optimized PuUIr structure.

POSCAR file:
```
PuUIr
1.0
-1.759 1.759 4.877
1.759 -1.759 4.877
1.759 1.759 -4.877
Pu U Ir
1 1 1
direct
0.000 0.000 0.000
0.675 0.675 0.000
0.323 0.323 0.000
```

Calculated values
magnetization: 6.49 μB/cell
space group: I4mm, No. 107
calculated density: 18553 kg/m³
energy above the lowest structure with this stoichiometry: 0 meV/atom
V: 20.12 A^3/atom

---

Entry 2:
Density functional theory data (PBE-GGA) for a geometry-optimized PuUIr2 structure.

POSCAR file:
```
PuUIr2
1.0
1.418 0.819 10.164
-1.418 0.819 10.164
0.000 -1.637 10.164
Pu U Ir
1 1 2
direct
0.000 0.000 0.000
0.500 0.500 0.500
0.249 0.249 0.249
0.751 0.751 0.751
```

Calculated values
magnetization: 2.69 μB/cell
raw total energy: -10.916 eV per atom
space group: R-3m, No. 166
calculated density: 20330 kg/m³
V: 17.69 A^3/atom

---

Entry 3:
Density functional theory data (PBE-GGA) for a geometry-optimized PuUZnIr structure.

POSCAR file:
```
PuUZnIr
1.0
0.000 3.338 3.338
3.338 0.000 3.338
3.338 3.338 0.000
Pu U Zn Ir
1 1 1 1
direct
0.000 0.000 0.000
0.250 0.250 0.250
0.750 0.750 0.750
0.500 0.500 0.500
```

Calculated values
magnetization: 7.04 μB/cell
raw total energy: -9.248 eV per atom
space group: F-43m, No. 216
calculated density: 16509 kg/m³
V: 18.60 A^3/atom

---

Entry 4:
Density functional theory data (PBE-GGA) for a geometry-optimized PuV2Ir structure.

POSCAR file:
```
PuV2Ir
1.0
0.000 3.149 3.149
3.149 0.000 3.149
3.149 3.149 0.000
Pu V Ir
1 2 1
direct
0.000 0.000 0.000
0.250 0.250 0.250
0.750 0.750 0.750
0.500 0.500 0.500
```

Calculated values
magnetization: 5.28 μB/cell
raw total energy: -10.406 eV per atom
space group: Fm-3m, No. 225
calculated density: 14306 kg/m³
V: 15.61 A^3/atom

---

Entry 5:
Density functional theory data (PBE-GGA) for a geometry-optimized PuVIr structure.

POSCAR file:
```
PuVIr
1.0
4.512 0.000 0.000
-2.256 3.907 0.000
0.000 0.000 2.828
Pu V Ir
1 1 1
direct
0.000 0.000 0.000
0.667 0.333 0.224
0.333 0.667 0.646
```

Calculated values
magnetization: 4.34 μB/cell
space group: P3m1, No. 156
calculated density: 16229 kg/m³
energy above the lowest structure with this stoichiometry: 132 meV/atom
V: 16.62 A^3/atom

---

Entry 6:
Density functional theory data (PBE-GGA) for a geometry-optimized PuVIr structure.

POSCAR file:
```
PuVIr
1.0
-1.478 1.478 5.965
1.478 -1.478 5.965
1.478 1.478 -5.965
Pu V Ir
1 1 1
direct
0.000 0.000 0.000
0.316 0.316 0.000
0.695 0.695 0.000
```

Calculated values
magnetization: 3.75 μB/cell
space group: I4mm, No. 107
calculated density: 15512 kg/m³
energy above the lowest structure with this stoichiometry: 0 meV/atom
V: 17.38 A^3/atom

---

Entry 7:
Density functional theory data (PBE-GGA) for a geometry-optimized PuVIr structure.

POSCAR file:
```
PuVIr
1.0
5.832 0.000 0.000
0.000 6.181 0.000
-3.816 0.000 6.549
Pu V Ir
4 4 4
direct
0.224 0.126 0.410
0.224 0.374 0.910
0.776 0.626 0.090
0.776 0.874 0.590
0.224 0.591 0.558
0.224 0.909 0.058
0.776 0.091 0.942
0.776 0.409 0.442
0.341 0.604 0.289
0.341 0.896 0.789
0.659 0.104 0.211
0.659 0.396 0.711
```

Calculated values
magnetization: 18.44 μB/cell
space group: P2_1/c, No. 14
calculated density: 13709 kg/m³
energy above the lowest structure with this stoichiometry: 53 meV/atom
V: 19.67 A^3/atom

---

Entry 8:
Density functional theory data (PBE-GGA) for a geometry-optimized PuZrVIr structure.

POSCAR file:
```
PuZrVIr
1.0
0.000 3.349 3.349
3.349 0.000 3.349
3.349 3.349 0.000
Pu Zr V Ir
1 1 1 1
direct
0.000 0.000 0.000
0.500 0.500 0.500
0.750 0.750 0.750
0.250 0.250 0.250
```

Calculated values
magnetization: 2.90 μB/cell
raw total energy: -10.420 eV per atom
space group: F-43m, No. 216
calculated density: 12786 kg/m³
V: 18.78 A^3/atom

---

Entry 9:
Density functional theory data (PBE-GGA) for a geometry-optimized Pu2IrW structure.

POSCAR file:
```
Pu2IrW
1.0
1.425 0.823 10.808
-1.425 0.823 10.808
0.000 -1.646 10.808
Pu Ir W
2 1 1
direct
0.089 0.089 0.089
0.911 0.911 0.911
0.500 0.500 0.500
0.000 0.000 0.000
```

Calculated values
magnetization: 8.69 μB/cell
raw total energy: -12.163 eV per atom
space group: R-3m, No. 166
calculated density: 18866 kg/m³
V: 19.01 A^3/atom

---

Entry 10:
Density functional theory data (PBE-GGA) for a geometry-optimized YPuIr4 structure.

POSCAR file:
```
YPuIr4
1.0
0.000 3.793 3.793
3.793 0.000 3.793
3.793 3.793 0.000
Y Pu Ir
1 1 4
direct
0.000 0.000 0.000
0.750 0.750 0.750
0.375 0.375 0.375
0.375 0.375 0.875
0.375 0.875 0.375
0.875 0.375 0.375
```

Calculated values
magnetization: 4.76 μB/cell
raw total energy: -10.040 eV per atom
space group: F-43m, No. 216
calculated density: 16760 kg/m³
V: 18.19 A^3/atom

---

Entry 11:
Density functional theory data (PBE-GGA) for a geometry-optimized YPu2Ir9 structure.

POSCAR file:
```
YPu2Ir9
1.0
2.650 1.530 8.785
-2.650 1.530 8.785
0.000 -3.059 8.785
Y Pu Ir
1 2 9
direct
0.000 0.000 0.000
0.140 0.140 0.140
0.860 0.860 0.860
0.081 0.584 0.584
0.333 0.333 0.333
0.416 0.416 0.919
0.416 0.919 0.416
0.500 0.500 0.500
0.584 0.081 0.584
0.584 0.584 0.081
0.667 0.667 0.667
0.919 0.416 0.416
```

Calculated values
magnetization: 8.14 μB/cell
raw total energy: -10.032 eV per atom
space group: R-3m, No. 166
calculated density: 17931 kg/m³
V: 17.80 A^3/atom

---

Entry 12:
Density functional theory data (PBE-GGA) for a geometry-optimized Y2PuIr9 structure.

POSCAR file:
```
Y2PuIr9
1.0
2.655 1.533 8.783
-2.655 1.533 8.783
0.000 -3.066 8.783
Y Pu Ir
2 1 9
direct
0.140 0.140 0.140
0.860 0.860 0.860
0.000 0.000 0.000
0.083 0.582 0.582
0.333 0.333 0.333
0.418 0.418 0.917
0.418 0.917 0.418
0.500 0.500 0.500
0.582 0.083 0.582
0.582 0.582 0.083
0.667 0.667 0.667
0.917 0.418 0.418
```

Calculated values
magnetization: 4.29 μB/cell
raw total energy: -9.440 eV per atom
space group: R-3m, No. 166
calculated density: 16661 kg/m³
V: 17.87 A^3/atom